[1]
A plane-wave DFT calculation with GGA-PBE was carried out for a relaxed structure of Na2Tm.

Summary:
ΔE to the lowest computed polymorph	0.0	meV/atom
raw total energy	-6.0	eV/f.u.
magnetization	0.0	Bohr magnetons per cell

abc: 6.3701 6.3701 9.9554
angles: 90.00 90.00 120.00
Space group P6_3/mmc (No. 194)
Inequivalent atoms, fractional coordinates:
Na1 0.0000 0.0000 0.0000 (multiplicity 2)
Na2 0.1722 0.3444 0.2500 (multiplicity 6)
Tm1 0.3333 0.6667 0.5629 (multiplicity 4)



[2]
A plane-wave DFT calculation with GGA-PBE was carried out for a relaxed structure of CsDyPbS3.

Summary:
ΔE to the lowest computed polymorph	78.5	meV/atom
raw total energy	-29.2	eV/f.u.
magnetization	0.0	Bohr magnetons per cell

abc: 4.0369 17.7463 11.6593
angles: 90.00 90.00 90.00
Space group Cmcm (No. 63)
Inequivalent atoms, fractional coordinates:
Cs1 0.0000 0.1778 0.2500 (multiplicity 4)
Dy1 0.0000 0.5000 0.0000 (multiplicity 4)
Pb1 0.0000 0.1050 0.7500 (multiplicity 4)
S1 0.0000 0.1031 0.5060 (multiplicity 8)
S2 0.0000 0.4997 0.2500 (multiplicity 4)



[3]
A plane-wave DFT calculation with GGA-PBE was carried out for a relaxed structure of NaSn5Os3.

Summary:
raw total energy	-52.7	eV/f.u.
magnetization	1.7	Bohr magnetons per cell

abc: 5.5016 5.5016 8.2265
angles: 90.00 90.00 120.00
Space group P6/mmm (No. 191)
Inequivalent atoms, fractional coordinates:
Na1 0.0000 0.0000 0.0000 (multiplicity 1)
Sn1 0.0000 0.0000 0.5000 (multiplicity 1)
Sn2 0.3333 0.6667 0.2157 (multiplicity 4)
Os1 0.0000 0.5000 0.5000 (multiplicity 3)



[4]
A plane-wave DFT calculation with GGA-PBE was carried out for a relaxed structure of Ta2AgAu.

Summary:
raw total energy	-28.1	eV/f.u.
magnetization	2.8	Bohr magnetons per cell

abc: 6.6063 6.6063 6.6063
angles: 90.00 90.00 90.00
Space group F-43m (No. 216)
Inequivalent atoms, fractional coordinates:
Ta1 0.0000 0.0000 0.0000 (multiplicity 4)
Ta2 0.2500 0.2500 0.2500 (multiplicity 4)
Ag1 0.0000 0.0000 0.5000 (multiplicity 4)
Au1 0.2500 0.2500 0.7500 (multiplicity 4)



[5]
A plane-wave DFT calculation with GGA-PBE was carried out for a relaxed structure of Hf3ZrSb4.

Summary:
raw total energy	-58.8	eV/f.u.
magnetization	0.0	Bohr magnetons per cell

abc: 4.0956 4.0956 13.5498
angles: 90.00 90.00 120.00
Space group P3m1 (No. 156)
Inequivalent atoms, fractional coordinates:
Hf1 0.0000 0.0000 0.0000 (multiplicity 1)
Hf2 0.0000 0.0000 0.2606 (multiplicity 1)
Hf3 0.3333 0.6667 0.4978 (multiplicity 1)
Zr1 0.3333 0.6667 0.7617 (multiplicity 1)
Sb1 0.0000 0.0000 0.6277 (multiplicity 1)
Sb2 0.3333 0.6667 0.1307 (multiplicity 1)
Sb3 0.6667 0.3333 0.3793 (multiplicity 1)
Sb4 0.6667 0.3333 0.8826 (multiplicity 1)



[6]
A plane-wave DFT calculation with GGA-PBE was carried out for a relaxed structure of NdHfPO.

Summary:
ΔE to the lowest computed polymorph	0.0	meV/atom
raw total energy	-33.0	eV/f.u.
magnetization	0.0	Bohr magnetons per cell

abc: 4.1909 4.1909 8.7793
angles: 90.00 90.00 90.00
Space group P4/nmm (No. 129, origin choice 2)
Inequivalent atoms, fractional coordinates:
Nd1 0.2500 0.2500 0.1251 (multiplicity 2)
Hf1 0.2500 0.7500 0.5000 (multiplicity 2)
P1 0.2500 0.2500 0.6748 (multiplicity 2)
O1 0.2500 0.7500 0.0000 (multiplicity 2)



[7]
A plane-wave DFT calculation with GGA-PBE was carried out for a relaxed structure of NaCuReTeS2.

Summary:
raw total energy	-30.3	eV/f.u.
magnetization	0.1	Bohr magnetons per cell

abc: 3.3769 14.5464 9.7002
angles: 90.00 90.00 90.00
Space group Cmcm (No. 63)
Inequivalent atoms, fractional coordinates:
Na1 0.0000 0.2171 0.2500 (multiplicity 4)
Cu1 0.0000 0.4567 0.7500 (multiplicity 4)
Re1 0.0000 0.0000 0.0000 (multiplicity 4)
Te1 0.0000 0.0959 0.7500 (multiplicity 4)
S1 0.0000 0.3834 0.5499 (multiplicity 8)



[8]
A plane-wave DFT calculation with GGA-PBE was carried out for a relaxed structure of HoErIn2Ni4.

Summary:
ΔE to the lowest computed polymorph	50.3	meV/atom
raw total energy	-40.2	eV/f.u.
magnetization	0.0	Bohr magnetons per cell

abc: 4.3928 4.3928 8.3712
angles: 90.00 90.00 120.00
Space group P-6m2 (No. 187)
Inequivalent atoms, fractional coordinates:
Ho1 0.0000 0.0000 0.0000 (multiplicity 1)
Er1 0.6667 0.3333 0.5000 (multiplicity 1)
In1 0.3333 0.6667 0.2509 (multiplicity 2)
Ni1 0.0000 0.0000 0.3390 (multiplicity 2)
Ni2 0.6667 0.3333 0.1631 (multiplicity 2)



[9]
A plane-wave DFT calculation with GGA-PBE was carried out for a relaxed structure of Pu2Be2As3P.

Summary:
raw total energy	-59.1	eV/f.u.
magnetization	19.7	Bohr magnetons per cell

abc: 9.6054 6.3635 6.5396
angles: 90.00 131.96 90.00
Space group C2 (No. 5)
Inequivalent atoms, fractional coordinates:
Pu1 0.2439 0.0000 0.1445 (multiplicity 4)
Be1 0.2445 0.5177 0.3427 (multiplicity 4)
As1 0.0000 0.8346 0.5000 (multiplicity 2)
As2 0.0733 0.2597 0.3239 (multiplicity 4)
P1 0.0000 0.6742 0.0000 (multiplicity 2)



[10]
A plane-wave DFT calculation with GGA-PBE was carried out for a relaxed structure of LiAlMoOs.

Summary:
ΔE to the lowest computed polymorph	0.0	meV/atom
raw total energy	-29.0	eV/f.u.
magnetization	0.0	Bohr magnetons per cell

abc: 6.0602 6.0602 6.0602
angles: 90.00 90.00 90.00
Space group F-43m (No. 216)
Inequivalent atoms, fractional coordinates:
Li1 0.0000 0.0000 0.0000 (multiplicity 4)
Al1 0.2500 0.2500 0.2500 (multiplicity 4)
Mo1 0.2500 0.2500 0.7500 (multiplicity 4)
Os1 0.0000 0.0000 0.5000 (multiplicity 4)



[11]
A plane-wave DFT calculation with GGA-PBE was carried out for a relaxed structure of ReBr2.

Summary:
ΔE to the lowest computed polymorph	441.9	meV/atom
raw total energy	-12.8	eV/f.u.
magnetization	0.1	Bohr magnetons per cell

abc: 11.0480 11.0480 11.0480
angles: 90.00 90.00 90.00
Space group Fd-3m (No. 227, origin choice 2)
Inequivalent atoms, fractional coordinates:
Re1 0.1250 0.1250 0.1250 (multiplicity 8)
Br1 0.0000 0.0000 0.0000 (multiplicity 16)



[12]
A plane-wave DFT calculation with GGA-PBE was carried out for a relaxed structure of ErCd7.

Summary:
raw total energy	-12.0	eV/f.u.
magnetization	0.0	Bohr magnetons per cell

abc: 7.3733 10.1499 9.4276
angles: 90.00 90.00 90.00
Space group Cmcm (No. 63)
Inequivalent atoms, fractional coordinates:
Er1 0.0000 0.0228 0.2500 (multiplicity 4)
Cd1 0.0000 0.2138 0.5191 (multiplicity 8)
Cd2 0.0000 0.4147 0.7500 (multiplicity 4)
Cd3 0.2011 0.3012 0.2500 (multiplicity 8)
Cd4 0.2080 0.5000 0.0000 (multiplicity 8)



[13]
A plane-wave DFT calculation with GGA-PBE was carried out for a relaxed structure of Li6AgSb.

Summary:
raw total energy	-21.3	eV/f.u.

abc: 4.4531 4.4531 6.4448
angles: 90.00 90.00 90.00
Space group P4/mmm (No. 123)
Inequivalent atoms, fractional coordinates:
Li1 0.0000 0.0000 0.0000 (multiplicity 1)
Li2 0.0000 0.5000 0.2471 (multiplicity 4)
Li3 0.5000 0.5000 0.5000 (multiplicity 1)
Ag1 0.5000 0.5000 0.0000 (multiplicity 1)
Sb1 0.0000 0.0000 0.5000 (multiplicity 1)



[14]
A plane-wave DFT calculation with GGA-PBE was carried out for a relaxed structure of Ag2Ge2O5.

Summary:
ΔE to the lowest computed polymorph	300.3	meV/atom
raw total energy	-46.8	eV/f.u.

abc: 3.6307 3.6307 8.0995
angles: 90.00 90.00 90.00
Space group P4/mmm (No. 123)
Inequivalent atoms, fractional coordinates:
Ag1 0.0000 0.0000 0.0000 (multiplicity 1)
Ag2 0.0000 0.0000 0.5000 (multiplicity 1)
Ge1 0.5000 0.5000 0.2280 (multiplicity 2)
O1 0.0000 0.5000 0.2799 (multiplicity 4)
O2 0.5000 0.5000 0.0000 (multiplicity 1)



[15]
A plane-wave DFT calculation with GGA-PBE was carried out for a relaxed structure of NbAg2Sn.

Summary:
raw total energy	-18.7	eV/f.u.
magnetization	4.7	Bohr magnetons per cell

abc: 6.7152 6.7152 6.7152
angles: 90.00 90.00 90.00
Space group F-43m (No. 216)
Inequivalent atoms, fractional coordinates:
Nb1 0.0000 0.0000 0.0000 (multiplicity 4)
Ag1 0.0000 0.0000 0.5000 (multiplicity 4)
Ag2 0.2500 0.2500 0.2500 (multiplicity 4)
Sn1 0.2500 0.2500 0.7500 (multiplicity 4)



[16]
A plane-wave DFT calculation with GGA-PBE was carried out for a relaxed structure of NaCdCo.

Summary:
raw total energy	-6.1	eV/f.u.
magnetization	6.6	Bohr magnetons per cell

abc: 6.4458 6.4458 6.4458
angles: 90.00 90.00 90.00
Space group F-43m (No. 216)
Inequivalent atoms, fractional coordinates:
Na1 0.0000 0.0000 0.0000 (multiplicity 4)
Cd1 0.2500 0.2500 0.7500 (multiplicity 4)
Co1 0.2500 0.2500 0.2500 (multiplicity 4)



[17]
A plane-wave DFT calculation with GGA-PBE was carried out for a relaxed structure of SmHfAu4.

Summary:
raw total energy	-31.7	eV/f.u.
magnetization	0.0	Bohr magnetons per cell

abc: 3.6712 3.6712 9.0513
angles: 90.00 90.00 90.00
Space group P4/mmm (No. 123)
Inequivalent atoms, fractional coordinates:
Sm1 0.0000 0.0000 0.0000 (multiplicity 1)
Hf1 0.5000 0.5000 0.5000 (multiplicity 1)
Au1 0.0000 0.0000 0.3428 (multiplicity 2)
Au2 0.5000 0.5000 0.1806 (multiplicity 2)



[18]
A plane-wave DFT calculation with GGA-PBE was carried out for a relaxed structure of TbNdCo2Si4.

Summary:
ΔE to the lowest computed polymorph	6.8	meV/atom
raw total energy	-51.4	eV/f.u.
magnetization	0.8	Bohr magnetons per cell

abc: 4.2718 3.9945 8.0527
angles: 90.00 103.05 90.00
Space group Pm (No. 6)
Inequivalent atoms, fractional coordinates:
Tb1 0.0000 0.0000 0.0000 (multiplicity 1)
Nd1 0.1953 0.5000 0.4052 (multiplicity 1)
Co1 0.4768 0.5000 0.8206 (multiplicity 1)
Co2 0.7298 0.0000 0.5906 (multiplicity 1)
Si1 0.2829 0.0000 0.6994 (multiplicity 1)
Si2 0.5527 0.5000 0.1088 (multiplicity 1)
Si3 0.6431 0.0000 0.2945 (multiplicity 1)
Si4 0.9232 0.5000 0.7152 (multiplicity 1)



[19]
A plane-wave DFT calculation with GGA-PBE was carried out for a relaxed structure of Ho2B6Os.

Summary:
raw total energy	-66.5	eV/f.u.
magnetization	0.0	Bohr magnetons per cell

abc: 9.1182 11.4887 3.6407
angles: 90.00 90.00 90.00
Space group Pbam (No. 55)
Inequivalent atoms, fractional coordinates:
Ho1 0.0561 0.1267 0.0000 (multiplicity 4)
Ho2 0.1782 0.4138 0.0000 (multiplicity 4)
B1 0.0171 0.2869 0.5000 (multiplicity 4)
B2 0.0535 0.5669 0.5000 (multiplicity 4)
B3 0.1093 0.9698 0.5000 (multiplicity 4)
B4 0.1317 0.8147 0.5000 (multiplicity 4)
B5 0.2091 0.2334 0.5000 (multiplicity 4)
B6 0.2478 0.5798 0.5000 (multiplicity 4)
Os1 0.1373 0.6785 0.0000 (multiplicity 4)



[20]
A plane-wave DFT calculation with GGA-PBE was carried out for a relaxed structure of InTc2Ge2.

Summary:
raw total energy	-31.5	eV/f.u.
magnetization	0.1	Bohr magnetons per cell

abc: 8.6951 16.3159 4.8547
angles: 90.00 90.00 90.00
Space group Fdd2 (No. 43)
Inequivalent atoms, fractional coordinates:
In1 0.0000 0.0000 0.0000 (multiplicity 8)
Tc1 0.0994 0.4205 0.0250 (multiplicity 16)
Ge1 0.0515 0.3162 0.6620 (multiplicity 16)



[21]
A plane-wave DFT calculation with GGA-PBE was carried out for a relaxed structure of NbCoHgSb.

Summary:
ΔE to the lowest computed polymorph	192.1	meV/atom
raw total energy	-19.3	eV/f.u.
magnetization	3.9	Bohr magnetons per cell

abc: 6.6773 6.6773 6.6773
angles: 90.00 90.00 90.00
Space group F-43m (No. 216)
Inequivalent atoms, fractional coordinates:
Nb1 0.0000 0.0000 0.0000 (multiplicity 4)
Co1 0.2500 0.2500 0.7500 (multiplicity 4)
Hg1 0.2500 0.2500 0.2500 (multiplicity 4)
Sb1 0.0000 0.0000 0.5000 (multiplicity 4)



[22]
A plane-wave DFT calculation with GGA-PBE was carried out for a relaxed structure of Co11W2.

Summary:
ΔE to the lowest computed polymorph	71.5	meV/atom
raw total energy	-102.0	eV/f.u.
magnetization	43.6	Bohr magnetons per cell

abc: 4.6103 4.6103 24.9619
angles: 90.00 90.00 120.00
Space group R-3m (No. 166, hexagonal axes)
Inequivalent atoms, fractional coordinates:
Co1 0.0000 0.0000 0.0000 (multiplicity 3)
Co2 0.0000 0.0000 0.1653 (multiplicity 6)
Co3 0.0000 0.0000 0.3457 (multiplicity 6)
Co4 0.0041 0.5020 0.4096 (multiplicity 18)
W1 0.0000 0.0000 0.4499 (multiplicity 6)



[23]
A plane-wave DFT calculation with GGA-PBE was carried out for a relaxed structure of ZrSeS.

Summary:
ΔE to the lowest computed polymorph	1.9	meV/atom
raw total energy	-20.4	eV/f.u.
magnetization	0.0	Bohr magnetons per cell

abc: 3.7433 6.4814 13.1727
angles: 90.00 90.00 90.00
Space group Pmn2_1 (No. 31)
Inequivalent atoms, fractional coordinates:
Zr1 0.0000 0.0290 0.0000 (multiplicity 2)
Zr2 0.0000 0.4714 0.4977 (multiplicity 2)
Se1 0.0000 0.6969 0.8732 (multiplicity 2)
Se2 0.0000 0.8058 0.3739 (multiplicity 2)
S1 0.0000 0.1389 0.6054 (multiplicity 2)
S2 0.0000 0.3634 0.1047 (multiplicity 2)